First-principles (PBE) data for crystalline In12Bi5P3 at its relaxed geometry, as listed in the Alexandria database.

Output
ΔH_f (0 K)	197	meV per atom

Cell and atoms, written as CIF:
```
data_In12Bi5P3
_chemical_formula_sum 'In48 Bi20 P12'
_cell_length_a 15.053
_cell_length_b 15.053
_cell_length_c 15.053
_cell_angle_alpha 109.47
_cell_angle_beta 109.47
_cell_angle_gamma 109.47
_space_group_name_H-M_alt 'P 1'
_space_group_IT_number 1
loop_
_space_group_symop_operation_xyz
'x,y,z'
loop_
_atom_site_label
_atom_site_fract_x
_atom_site_fract_y
_atom_site_fract_z
In1 0.064 0.641 0.399
In2 0.064 0.924 0.665
In3 0.076 0.241 0.141
In4 0.076 0.335 0.936
In5 0.101 0.741 0.665
In6 0.101 0.859 0.436
In7 0.141 0.076 0.241
In8 0.141 0.564 0.899
In9 0.165 0.241 0.601
In10 0.165 0.424 0.564
In11 0.241 0.141 0.076
In12 0.241 0.601 0.165
In13 0.259 0.335 0.899
In14 0.259 0.424 0.359
In15 0.335 0.899 0.259
In16 0.335 0.936 0.076
In17 0.359 0.259 0.424
In18 0.359 0.601 0.936
In19 0.399 0.064 0.641
In20 0.399 0.835 0.759
In21 0.424 0.359 0.259
In22 0.424 0.564 0.165
In23 0.436 0.101 0.859
In24 0.436 0.835 0.576
In25 0.564 0.165 0.424
In26 0.564 0.899 0.141
In27 0.576 0.436 0.835
In28 0.576 0.641 0.741
In29 0.601 0.165 0.241
In30 0.601 0.936 0.359
In31 0.641 0.399 0.064
In32 0.641 0.741 0.576
In33 0.665 0.064 0.924
In34 0.665 0.101 0.741
In35 0.741 0.576 0.641
In36 0.741 0.665 0.101
In37 0.759 0.399 0.835
In38 0.759 0.859 0.924
In39 0.835 0.576 0.436
In40 0.835 0.759 0.399
In41 0.859 0.436 0.101
In42 0.859 0.924 0.759
In43 0.899 0.141 0.564
In44 0.899 0.259 0.335
In45 0.924 0.665 0.064
In46 0.924 0.759 0.859
In47 0.936 0.076 0.335
In48 0.936 0.359 0.601
Bi1 0.000 0.000 0.000
Bi2 0.000 0.000 0.500
Bi3 0.000 0.500 0.000
Bi4 0.000 0.500 0.500
Bi5 0.125 0.750 0.875
Bi6 0.125 0.875 0.250
Bi7 0.250 0.125 0.875
Bi8 0.250 0.625 0.375
Bi9 0.375 0.250 0.625
Bi10 0.375 0.625 0.750
Bi11 0.500 0.000 0.000
Bi12 0.500 0.000 0.500
Bi13 0.500 0.500 0.000
Bi14 0.500 0.500 0.500
Bi15 0.625 0.375 0.250
Bi16 0.625 0.750 0.375
Bi17 0.750 0.375 0.625
Bi18 0.750 0.875 0.125
Bi19 0.875 0.125 0.750
Bi20 0.875 0.250 0.125
P1 0.125 0.250 0.375
P2 0.125 0.375 0.750
P3 0.250 0.375 0.125
P4 0.250 0.875 0.625
P5 0.375 0.125 0.250
P6 0.375 0.750 0.125
P7 0.625 0.250 0.875
P8 0.625 0.875 0.750
P9 0.750 0.125 0.375
P10 0.750 0.625 0.875
P11 0.875 0.625 0.250
P12 0.875 0.750 0.625
```

---

First-principles (PBE) data for crystalline LiLaBi3 at its relaxed geometry, as listed in the Alexandria database.

Output
ΔH_f (0 K)	-305	meV per atom
ΔE to the lowest computed polymorph	275	meV/atom

Cell and atoms, written as CIF:
```
data_LiLaBi3
_chemical_formula_sum 'Li1 La1 Bi3'
_cell_length_a 5.279
_cell_length_b 5.279
_cell_length_c 5.279
_cell_angle_alpha 90.00
_cell_angle_beta 90.00
_cell_angle_gamma 90.00
_space_group_name_H-M_alt 'P 1'
_space_group_IT_number 1
loop_
_space_group_symop_operation_xyz
'x,y,z'
loop_
_atom_site_label
_atom_site_fract_x
_atom_site_fract_y
_atom_site_fract_z
Li1 0.000 0.000 0.000
La1 0.500 0.500 0.500
Bi1 0.000 0.000 0.500
Bi2 0.000 0.500 0.000
Bi3 0.500 0.000 0.000
```

---

First-principles (PBE) data for crystalline CsIrCl2 at its relaxed geometry, as listed in the Alexandria database.

Output
formation energy from raw total energies	-28.2	kJ per mole of atoms
ΔE to the lowest computed polymorph	31	meV/atom

Cell and atoms, written as CIF:
```
data_CsIrCl2
_chemical_formula_sum 'Cs2 Ir2 Cl4'
_cell_length_a 8.261
_cell_length_b 8.261
_cell_length_c 8.261
_cell_angle_alpha 136.58
_cell_angle_beta 136.58
_cell_angle_gamma 63.09
_space_group_name_H-M_alt 'P 1'
_space_group_IT_number 1
loop_
_space_group_symop_operation_xyz
'x,y,z'
loop_
_atom_site_label
_atom_site_fract_x
_atom_site_fract_y
_atom_site_fract_z
Cs1 0.000 0.000 0.000
Cs2 0.750 0.250 0.500
Ir1 0.250 0.750 0.500
Ir2 0.500 0.500 0.000
Cl1 0.287 0.625 0.162
Cl2 0.375 0.537 0.662
Cl3 0.463 0.125 0.838
Cl4 0.875 0.713 0.338
```

---

First-principles (PBE) data for crystalline SmY3Cd4 at its relaxed geometry, as listed in the Alexandria database.

Output
ΔH_f (0 K)	-344	meV per atom

Cell and atoms, written as CIF:
```
data_SmY3Cd4
_chemical_formula_sum 'Sm1 Y3 Cd4'
_cell_length_a 5.305
_cell_length_b 5.305
_cell_length_c 7.604
_cell_angle_alpha 90.00
_cell_angle_beta 90.00
_cell_angle_gamma 90.00
_space_group_name_H-M_alt 'P 1'
_space_group_IT_number 1
loop_
_space_group_symop_operation_xyz
'x,y,z'
loop_
_atom_site_label
_atom_site_fract_x
_atom_site_fract_y
_atom_site_fract_z
Sm1 0.000 0.000 0.000
Y1 0.000 0.000 0.500
Y2 0.500 0.500 0.000
Y3 0.500 0.500 0.500
Cd1 0.000 0.500 0.254
Cd2 0.000 0.500 0.746
Cd3 0.500 0.000 0.254
Cd4 0.500 0.000 0.746
```

---

First-principles (PBE) data for crystalline Pr6Sm2Er3Tl at its relaxed geometry, as listed in the Alexandria database.

Output
ΔH_f (0 K)	-19	meV per atom

Cell and atoms, written as CIF:
```
data_Pr6Sm2Er3Tl
_chemical_formula_sum 'Pr6 Sm2 Er3 Tl1'
_cell_length_a 6.251
_cell_length_b 6.251
_cell_length_c 11.927
_cell_angle_alpha 95.04
_cell_angle_beta 95.04
_cell_angle_gamma 120.13
_space_group_name_H-M_alt 'P 1'
_space_group_IT_number 1
loop_
_space_group_symop_operation_xyz
'x,y,z'
loop_
_atom_site_label
_atom_site_fract_x
_atom_site_fract_y
_atom_site_fract_z
Pr1 0.084 0.411 0.752
Pr2 0.243 0.243 0.247
Pr3 0.411 0.084 0.752
Pr4 0.589 0.916 0.248
Pr5 0.757 0.757 0.753
Pr6 0.916 0.589 0.248
Sm1 0.334 0.666 0.500
Sm2 0.666 0.334 0.500
Er1 0.167 0.833 0.000
Er2 0.500 0.500 0.000
Er3 0.833 0.167 0.000
Tl1 0.000 0.000 0.500
```

---

First-principles (PBE) data for crystalline V8Ru3 at its relaxed geometry, as listed in the Alexandria database.

Output
ΔH_f (0 K)	118	meV per atom

Cell and atoms, written as CIF:
```
data_V8Ru3
_chemical_formula_sum 'V8 Ru3'
_cell_length_a 13.242
_cell_length_b 13.242
_cell_length_c 13.242
_cell_angle_alpha 168.49
_cell_angle_beta 161.01
_cell_angle_gamma 22.26
_space_group_name_H-M_alt 'P 1'
_space_group_IT_number 1
loop_
_space_group_symop_operation_xyz
'x,y,z'
loop_
_atom_site_label
_atom_site_fract_x
_atom_site_fract_y
_atom_site_fract_z
V1 0.045 0.045 0.000
V2 0.223 0.223 0.000
V3 0.311 0.811 0.500
V4 0.407 0.907 0.500
V5 0.593 0.093 0.500
V6 0.689 0.189 0.500
V7 0.777 0.777 0.000
V8 0.955 0.955 0.000
Ru1 0.133 0.633 0.500
Ru2 0.500 0.500 0.000
Ru3 0.867 0.367 0.500
```

---

First-principles (PBE) data for crystalline Si5Au3 at its relaxed geometry, as listed in the Alexandria database.

Output
formation energy from raw total energies	35.6	kJ per mole of atoms
ΔE to the lowest computed polymorph	187	meV/atom

Cell and atoms, written as CIF:
```
data_Si5Au3
_chemical_formula_sum 'Si10 Au6'
_cell_length_a 8.224
_cell_length_b 8.224
_cell_length_c 4.650
_cell_angle_alpha 90.00
_cell_angle_beta 90.00
_cell_angle_gamma 120.00
_space_group_name_H-M_alt 'P 1'
_space_group_IT_number 1
loop_
_space_group_symop_operation_xyz
'x,y,z'
loop_
_atom_site_label
_atom_site_fract_x
_atom_site_fract_y
_atom_site_fract_z
Si1 0.000 0.197 0.250
Si2 0.000 0.803 0.750
Si3 0.197 0.000 0.250
Si4 0.197 0.197 0.750
Si5 0.333 0.667 0.000
Si6 0.333 0.667 0.500
Si7 0.667 0.333 0.000
Si8 0.667 0.333 0.500
Si9 0.803 0.000 0.750
Si10 0.803 0.803 0.250
Au1 0.000 0.392 0.750
Au2 0.000 0.608 0.250
Au3 0.392 0.000 0.750
Au4 0.392 0.392 0.250
Au5 0.608 0.000 0.250
Au6 0.608 0.608 0.750
```

---

First-principles (PBE) data for crystalline RbCd3 at its relaxed geometry, as listed in the Alexandria database.

Output
ΔH_f (0 K)	-38	meV per atom

Cell and atoms, written as CIF:
```
data_RbCd3
_chemical_formula_sum 'Rb4 Cd12'
_cell_length_a 9.422
_cell_length_b 8.007
_cell_length_c 6.845
_cell_angle_alpha 90.00
_cell_angle_beta 90.00
_cell_angle_gamma 90.00
_space_group_name_H-M_alt 'P 1'
_space_group_IT_number 1
loop_
_space_group_symop_operation_xyz
'x,y,z'
loop_
_atom_site_label
_atom_site_fract_x
_atom_site_fract_y
_atom_site_fract_z
Rb1 0.031 0.250 0.122
Rb2 0.469 0.750 0.622
Rb3 0.531 0.250 0.378
Rb4 0.969 0.750 0.878
Cd1 0.124 0.750 0.369
Cd2 0.172 0.063 0.593
Cd3 0.172 0.437 0.593
Cd4 0.328 0.563 0.093
Cd5 0.328 0.937 0.093
Cd6 0.376 0.250 0.869
Cd7 0.624 0.750 0.131
Cd8 0.672 0.063 0.907
Cd9 0.672 0.437 0.907
Cd10 0.828 0.563 0.407
Cd11 0.828 0.937 0.407
Cd12 0.876 0.250 0.631
```

---

First-principles (PBE) data for crystalline Zr2Mo3W at its relaxed geometry, as listed in the Alexandria database.

Output
ΔH_f (0 K)	-144	meV per atom

Cell and atoms, written as CIF:
```
data_Zr2Mo3W
_chemical_formula_sum 'Zr2 Mo3 W1'
_cell_length_a 5.404
_cell_length_b 5.404
_cell_length_c 5.404
_cell_angle_alpha 59.75
_cell_angle_beta 59.75
_cell_angle_gamma 59.75
_space_group_name_H-M_alt 'P 1'
_space_group_IT_number 1
loop_
_space_group_symop_operation_xyz
'x,y,z'
loop_
_atom_site_label
_atom_site_fract_x
_atom_site_fract_y
_atom_site_fract_z
Zr1 0.125 0.125 0.125
Zr2 0.875 0.875 0.875
Mo1 0.000 0.500 0.500
Mo2 0.500 0.000 0.500
Mo3 0.500 0.500 0.000
W1 0.500 0.500 0.500
```

---

First-principles (PBE) data for crystalline LaReAs at its relaxed geometry, as listed in the Alexandria database.

Output
ΔH_f (0 K)	-191	meV per atom
ΔE to the lowest computed polymorph	53	meV/atom

Cell and atoms, written as CIF:
```
data_LaReAs
_chemical_formula_sum 'La1 Re1 As1'
_cell_length_a 6.127
_cell_length_b 6.127
_cell_length_c 6.127
_cell_angle_alpha 148.69
_cell_angle_beta 148.69
_cell_angle_gamma 44.87
_space_group_name_H-M_alt 'P 1'
_space_group_IT_number 1
loop_
_space_group_symop_operation_xyz
'x,y,z'
loop_
_atom_site_label
_atom_site_fract_x
_atom_site_fract_y
_atom_site_fract_z
La1 0.000 0.000 0.000
Re1 0.690 0.690 0.000
As1 0.289 0.289 0.000
```